# 1
PBE-GGA TaPRu2, relaxed; ρ = 11.78 g cm⁻³; total magnetization = 0.0 μB per cell; formation energy = -27 kJ per mole of atoms; symmetry = No. 10
1.0
2.879 0.000 0.000
0.000 3.997 0.000
-1.413 0.000 5.072
Ta P Ru
1 1 2
Cartesian
0.000 0.000 0.000 Ta
-0.707 0.000 2.536 P
-0.006 1.998 3.695 Ru
1.472 1.998 1.377 Ru

# 2
PBE-GGA AsIN3, relaxed; ρ = 6.32 g cm⁻³; total magnetization = 0.0 μB per cell; formation energy (no corrections) = 2354 meV/atom; symmetry = No. 221
1.0
4.001 0.000 0.000
0.000 4.001 0.000
0.000 0.000 4.001
As I N
1 1 3
Cartesian
0.000 0.000 0.000 As
2.000 2.000 2.000 I
0.000 2.000 2.000 N
2.000 0.000 2.000 N
2.000 2.000 0.000 N